1.
LaY2Ta | PBE-GGA | relaxed

Polymorph energy (0 for the lowest one) ... 10.1 kJ per mole of atoms
Energy ... -0.5182 Ry per atom
Formation energy ... 8.7 kcal/mol of atoms
D(E_F) ... 1.223 states/eV per atom

a b c (Å): 3.9459 3.9459 7.4071
angles (deg): 90.00 90.00 90.00
With the nearest neighbours (Å) after each atom.
Space group P4mm (No. 99)
One atom of each set of equivalent atoms:
La1 0.0000 0.0000 0.0000 (multiplicity 1)  1 Y 3.18, 4 Ta 3.31
Y1 0.0000 0.0000 0.4291 (multiplicity 1)  4 Ta 3.12, 1 La 3.18, 4 Y 3.38
Y2 0.5000 0.5000 0.6874 (multiplicity 1)  1 Ta 3.31, 4 Y 3.38, 4 La 3.63
Ta1 0.5000 0.5000 0.2403 (multiplicity 1)  5 Y 3.12-3.31, 4 La 3.31

---

2.
LaY4Ta | PBE-GGA | relaxed

Energy ... -0.4699 Ry per atom
Formation energy ... 16.4 kcal/mol of atoms
D(E_F) ... 1.760 states/eV per atom

a b c (Å): 9.0344 9.0344 9.0344
angles (deg): 90.00 90.00 90.00
With the nearest neighbours (Å) after each atom.
Space group F-43m (No. 216)
One atom of each set of equivalent atoms:
La1 0.0000 0.0000 0.0000 (multiplicity 4)  12 Y 3.75, 4 Ta 3.91
Y1 0.1230 0.1230 0.3770 (multiplicity 16)  6 Y 3.14-3.24
Ta1 0.2500 0.2500 0.7500 (multiplicity 4)  12 Y 3.74, 4 La 3.91

---

3.
La2YTa | PBE-GGA | relaxed

Polymorph energy (0 for the lowest one) ... 0.0 kJ per mole of atoms
Energy ... -0.4942 Ry per atom
Formation energy ... 7.3 kcal/mol of atoms
D(E_F) ... 1.437 states/eV per atom

a b c (Å): 3.3256 3.3256 10.7042
angles (deg): 90.00 90.00 90.00
With the nearest neighbours (Å) after each atom.
Space group P4mm (No. 99)
One atom of each set of equivalent atoms:
La1 0.0000 0.0000 0.0000 (multiplicity 1)  4 La 3.33
La2 0.5000 0.5000 0.2965 (multiplicity 1)  4 Ta 3.32, 4 La 3.33
Y1 0.5000 0.5000 0.7154 (multiplicity 1)  4 Ta 3.18, 4 Y 3.33
Ta1 0.0000 0.0000 0.5149 (multiplicity 1)  4 Y 3.18, 4 La 3.32, 4 Ta 3.33

---

4.
LaY2Ta | PBE-GGA | relaxed

Polymorph energy (0 for the lowest one) ... 11.0 kJ per mole of atoms
Energy ... -0.5176 Ry per atom
Formation energy ... 8.9 kcal/mol of atoms
D(E_F) ... 1.197 states/eV per atom

a b c (Å): 11.6126 3.3579 5.9699
angles (deg): 90.00 103.89 90.00
With the nearest neighbours (Å) after each atom.
Space group Cm (No. 8)
One atom of each set of equivalent atoms:
La1 0.0000 0.0000 0.0000 (multiplicity 2)  2 Ta 3.14, 3 Y 3.22-3.42, 2 La 3.36
Y1 0.2244 0.0000 0.7698 (multiplicity 2)  3 La 3.22-3.58, 2 Ta 3.24, 3 Y 3.36-3.51
Y2 0.4488 0.0000 0.4662 (multiplicity 2)  3 Ta 3.19-3.41, 3 Y 3.36-3.51, 4 La 3.42-3.52
Ta1 0.2102 0.5000 0.3003 (multiplicity 2)  2 La 3.14, 5 Y 3.19-3.41, 2 Ta 3.36

---

5.
La2YTa | PBE-GGA | relaxed

Polymorph energy (0 for the lowest one) ... 10.4 kJ per mole of atoms
Energy ... -0.4863 Ry per atom
Formation energy ... 9.8 kcal/mol of atoms
D(E_F) ... 1.601 states/eV per atom

a b c (Å): 4.8903 4.8903 9.6008
angles (deg): 90.00 90.00 90.00
With the nearest neighbours (Å) after each atom.
Space group I-4m2 (No. 119)
One atom of each set of equivalent atoms:
La1 0.0000 0.0000 0.0000 (multiplicity 2)  4 Ta 3.43, 4 La 3.43, 4 Y 3.46
La2 0.0000 0.5000 0.2500 (multiplicity 2)  4 La 3.43, 4 Y 3.43, 4 Ta 3.46
Y1 0.0000 0.0000 0.5000 (multiplicity 2)  4 Ta 3.43, 8 La 3.43-3.46
Ta1 0.0000 0.5000 0.7500 (multiplicity 2)  8 La 3.43-3.46, 4 Y 3.43

---

6.
La2Y2Ta | PBE-GGA | relaxed

Polymorph energy (0 for the lowest one) ... 0.0 kJ per mole of atoms
Energy ... -0.4702 Ry per atom
Formation energy ... 12.2 kcal/mol of atoms
D(E_F) ... 1.082 states/eV per atom

a b c (Å): 7.5453 7.5453 5.3610
angles (deg): 90.00 90.00 90.00
With the nearest neighbours (Å) after each atom.
Space group P4/mbm (No. 127)
One atom of each set of equivalent atoms:
La1 0.1433 0.3567 0.0000 (multiplicity 4)  2 Ta 2.90, 1 La 3.06
Y1 0.1733 0.6733 0.5000 (multiplicity 4)  6 La 3.32-3.60, 1 Y 3.70
Ta1 0.0000 0.0000 0.0000 (multiplicity 2)  4 La 2.90

---

7.
La2Y2Ta | PBE-GGA | relaxed

Polymorph energy (0 for the lowest one) ... 31.9 kJ per mole of atoms
Energy ... -0.4459 Ry per atom
Formation energy ... 19.8 kcal/mol of atoms
D(E_F) ... 0.999 states/eV per atom

a b c (Å): 4.3057 4.3057 18.0399
angles (deg): 90.00 90.00 90.00
With the nearest neighbours (Å) after each atom.
Space group I4/mmm (No. 139)
One atom of each set of equivalent atoms:
La1 0.0000 0.0000 0.0847 (multiplicity 4)  1 La 3.05, 4 Ta 3.41
Y1 0.0000 0.5000 0.2500 (multiplicity 4)  4 Y 3.04
Ta1 0.0000 0.0000 0.5000 (multiplicity 2)  8 La 3.41

---

8.
La2YTa | PBE-GGA | relaxed

Polymorph energy (0 for the lowest one) ... 7.2 kJ per mole of atoms
Energy ... -0.4888 Ry per atom
Formation energy ... 9.1 kcal/mol of atoms
D(E_F) ... 1.284 states/eV per atom

a b c (Å): 3.4124 3.4124 34.3929
angles (deg): 90.00 90.00 120.00
With the nearest neighbours (Å) after each atom.
Space group R3m (No. 160, hexagonal axes)
One atom of each set of equivalent atoms:
La1 0.0000 0.0000 0.0000 (multiplicity 3)  3 Ta 3.24, 6 La 3.41
La2 0.0000 0.0000 0.2418 (multiplicity 3)  9 La 3.41-3.71, 3 Y 3.81
Y1 0.0000 0.0000 0.4802 (multiplicity 3)  3 Ta 3.16, 6 Y 3.41
Ta1 0.0000 0.0000 0.7416 (multiplicity 3)  3 Y 3.16, 3 La 3.24, 6 Ta 3.41

---

What did the fourth record say?
LaY2Ta | PBE-GGA | relaxed

Polymorph energy (0 for the lowest one) ... 11.0 kJ per mole of atoms
Energy ... -0.5176 Ry per atom
Formation energy ... 8.9 kcal/mol of atoms
D(E_F) ... 1.197 states/eV per atom

a b c (Å): 11.6126 3.3579 5.9699
angles (deg): 90.00 103.89 90.00
With the nearest neighbours (Å) after each atom.
Space group Cm (No. 8)
One atom of each set of equivalent atoms:
La1 0.0000 0.0000 0.0000 (multiplicity 2)  2 Ta 3.14, 3 Y 3.22-3.42, 2 La 3.36
Y1 0.2244 0.0000 0.7698 (multiplicity 2)  3 La 3.22-3.58, 2 Ta 3.24, 3 Y 3.36-3.51
Y2 0.4488 0.0000 0.4662 (multiplicity 2)  3 Ta 3.19-3.41, 3 Y 3.36-3.51, 4 La 3.42-3.52
Ta1 0.2102 0.5000 0.3003 (multiplicity 2)  2 La 3.14, 5 Y 3.19-3.41, 2 Ta 3.36